# 1
First-principles (PBE-GGA) data for a relaxed BaTbHg crystal, as listed in the Alexandria database.

It has space group I4mm (No. 107), with a = 3.975 Å, b = 3.975 Å, c = 13.795 Å, α = 90.00°, β = 90.00° and γ = 90.00°. The distinct sites, in fractional coordinates, are Ba at (0.000, 0.000, 0.000), Tb at (0.000, 0.000, 0.273) and Hg at (0.000, 0.000, 0.678).

The energy of formation from the pure elements comes out at -0.8 eV/f.u. The spin magnetization comes out at 0.0 μB per formula unit. The value obtained for the uncorrected energy is -2.537 eV/atom.

---

# 2
First-principles (PBE-GGA) data for a relaxed BaTbTlHg crystal, as listed in the Alexandria database.

It has space group F-43m (No. 216), with a = 8.043 Å, b = 8.043 Å, c = 8.043 Å, α = 90.00°, β = 90.00° and γ = 90.00°. The distinct sites, in fractional coordinates, are Ba at (0.000, 0.000, 0.000), Tb at (0.000, 0.000, 0.500), Tl at (0.250, 0.250, 0.250) and Hg at (0.250, 0.250, 0.750).

The energy of formation from the pure elements comes out at -1.3 eV/f.u. The spin magnetization comes out at 0.0 μB per formula unit. The value obtained for the uncorrected energy is -2.623 eV/atom.

---

# 3
First-principles (PBE-GGA) data for a relaxed BaTc2Hg crystal, as listed in the Alexandria database.

It has space group Pmmm (No. 47), with a = 3.147 Å, b = 4.415 Å, c = 7.014 Å, α = 90.00°, β = 90.00° and γ = 90.00°. The distinct sites, in fractional coordinates, are Ba at (0.000, 0.000, 0.000), Tc at (0.500, 0.500, 0.344) and Hg at (0.000, 0.000, 0.500).

The energy of formation from the pure elements comes out at 3.3 eV/f.u. The energy above the lowest structure with this stoichiometry is 202 kJ/mol of formula units. The spin magnetization comes out at 0.0 μB per formula unit. The value obtained for the uncorrected energy is -4.918 eV/atom.

---

# 4
First-principles (PBE-GGA) data for a relaxed BaTc2Hg crystal, as listed in the Alexandria database.

It has space group P2/m (No. 10), with a = 3.747 Å, b = 5.116 Å, c = 5.887 Å, α = 90.00°, β = 98.94° and γ = 90.00°. The distinct sites, in fractional coordinates, are Ba at (0.000, 0.000, 0.000), Tc at (0.277, 0.500, 0.617) and Hg at (0.500, 0.000, 0.500).

The energy of formation from the pure elements comes out at 2.5 eV/f.u. The energy above the lowest structure with this stoichiometry is 131 kJ/mol of formula units. The spin magnetization comes out at 0.0 μB per formula unit. The value obtained for the uncorrected energy is -5.102 eV/atom.

---

# 5
First-principles (PBE-GGA) data for a relaxed Ba2TcHg crystal, as listed in the Alexandria database.

It has space group P4mm (No. 99), with a = 3.844 Å, b = 3.844 Å, c = 9.325 Å, α = 90.00°, β = 90.00° and γ = 90.00°. The distinct sites, in fractional coordinates, are Ba at (0.000, 0.000, 0.000), Ba at (0.500, 0.500, 0.425), Tc at (0.500, 0.500, 0.747) and Hg at (0.000, 0.000, 0.659).

The energy of formation from the pure elements comes out at 1.8 eV/f.u. The energy above the lowest structure with this stoichiometry is 46 kJ/mol of formula units. The spin magnetization comes out at 0.0 μB per formula unit. The value obtained for the uncorrected energy is -3.189 eV/atom.

---

# 6
First-principles (PBE-GGA) data for a relaxed BaTc2Hg crystal, as listed in the Alexandria database.

It has space group R3m (No. 160, hexagonal axes), with a = 4.2834 Å, b = 4.2834 Å, c = 19.8861 Å, α = 90.00°, β = 90.00° and γ = 120.00°. The distinct sites, in fractional coordinates, are Ba at (0.0000, 0.0000, 0.0000), Tc at (0.0000, 0.0000, 0.4686), Tc at (0.0000, 0.0000, 0.7923) and Hg at (0.0000, 0.0000, 0.2066).

The energy of formation from the pure elements comes out at 1.2 eV/f.u. The energy above the lowest structure with this stoichiometry is 0 kJ/mol of formula units. The spin magnetization comes out at 0.0 μB per formula unit. The value obtained for the uncorrected energy is -5.442 eV/atom.

---

Which of these has the highest energy of formation from the pure elements? number 3

---

Number 2 is which compound? BaTbTlHg

---

Among the records above, which one has the lowest uncorrected energy? number 6

---

Look up the energy of formation from the pure elements of the third one. 3.3 eV/f.u.